Entry 1:
{
  "formula": "MnCo",
  "functional": "PBE-GGA",
  "state": "relaxed",
  "lattice": [[2.488, 0.000, 0.000], [-1.244, 2.154, 0.000], [0.000, 0.000, 7.936]],
  "species": ["Mn", "Mn", "Co", "Co"],
  "frac_coords": [[0.333, 0.667, 0.378], [0.667, 0.333, 0.622], [0.333, 0.667, 0.873], [0.667, 0.333, 0.127]],
  "formation_energy_kcal_per_mol_atoms": 1.4,
  "sg": "P-3m1"
}



Entry 2:
{
  "formula": "SrMg2CoGe",
  "functional": "PBE-GGA",
  "state": "relaxed",
  "lattice": [[4.922, 0.000, 0.000], [0.000, 4.922, 0.000], [0.000, 0.000, 4.593]],
  "species": ["Sr", "Mg", "Mg", "Co", "Ge"],
  "frac_coords": [[0.000, 0.000, 0.000], [0.000, 0.500, 0.500], [0.500, 0.000, 0.500], [0.500, 0.500, 0.500], [0.500, 0.500, 0.000]],
  "formation_energy_kcal_per_mol_atoms": -3.9,
  "sg": "P4/mmm"
}



Entry 3:
{
  "formula": "AcPm6Sm4",
  "functional": "PBE-GGA",
  "state": "relaxed",
  "lattice": [[-3.349, 3.349, 8.853], [3.349, -3.349, 8.853], [3.349, 3.349, -8.853]],
  "species": ["Ac", "Pm", "Pm", "Pm", "Pm", "Pm", "Pm", "Sm", "Sm", "Sm", "Sm"],
  "frac_coords": [[0.000, 0.000, 0.000], [0.000, 0.500, 0.500], [0.191, 0.191, 0.640], [0.449, 0.809, 0.000], [0.500, 0.000, 0.500], [0.551, 0.551, 0.360], [0.809, 0.449, 0.000], [0.009, 0.629, 0.000], [0.371, 0.371, 0.380], [0.629, 0.009, 0.000], [0.991, 0.991, 0.620]],
  "formation_energy_kcal_per_mol_atoms": 7.3,
  "sg": "I-42m"
}



Entry 4:
{
  "formula": "NbPS",
  "functional": "PBE-GGA",
  "state": "relaxed",
  "lattice": [[-1.655, 1.655, 4.137], [1.655, -1.655, 4.137], [1.655, 1.655, -4.137]],
  "species": ["Nb", "P", "S"],
  "frac_coords": [[0.000, 0.000, 0.000], [0.658, 0.658, 0.000], [0.341, 0.341, 0.000]],
  "formation_energy_uncorrected_kcal_per_mol_atoms": -11.31,
  "sg": "I4mm"
}



Entry 5:
{
  "formula": "ScPaAl2",
  "functional": "PBE-GGA",
  "state": "relaxed",
  "lattice": [[3.152, 0.000, 0.000], [0.000, 3.152, 0.000], [0.000, 0.000, 8.270]],
  "species": ["Sc", "Pa", "Al", "Al"],
  "frac_coords": [[0.000, 0.000, 0.000], [0.000, 0.000, 0.500], [0.500, 0.500, 0.236], [0.500, 0.500, 0.764]],
  "formation_energy_kcal_per_mol_atoms": -6.8,
  "sg": "P4/mmm"
}



Entry 6:
{
  "formula": "ErAlGa2Pd4",
  "functional": "PBE-GGA",
  "state": "relaxed",
  "lattice": [[2.220, 1.282, 7.735], [-2.220, 1.282, 7.735], [0.000, -2.564, 7.735]],
  "species": ["Er", "Al", "Ga", "Ga", "Pd", "Pd", "Pd", "Pd"],
  "frac_coords": [[0.000, 0.000, 0.000], [0.500, 0.500, 0.500], [0.251, 0.251, 0.251], [0.749, 0.749, 0.749], [0.131, 0.131, 0.131], [0.394, 0.394, 0.394], [0.606, 0.606, 0.606], [0.869, 0.869, 0.869]],
  "formation_energy_kcal_per_mol_atoms": -18.1,
  "sg": "R-3m"
}



Entry 7:
{
  "formula": "YPuCoOs",
  "functional": "PBE-GGA",
  "state": "relaxed",
  "lattice": [[0.000, 3.378, 3.378], [3.378, 0.000, 3.378], [3.378, 3.378, 0.000]],
  "species": ["Y", "Pu", "Co", "Os"],
  "frac_coords": [[0.000, 0.000, 0.000], [0.500, 0.500, 0.500], [0.250, 0.250, 0.250], [0.750, 0.750, 0.750]],
  "formation_energy_kcal_per_mol_atoms": -1.2,
  "sg": "F-43m"
}



Entry 8:
{
  "formula": "Ti2NbSb",
  "functional": "PBE-GGA",
  "state": "relaxed",
  "lattice": [[4.399, 0.000, 0.000], [0.000, 4.399, 0.000], [0.000, 0.000, 3.706]],
  "species": ["Ti", "Ti", "Nb", "Sb"],
  "frac_coords": [[0.000, 0.500, 0.000], [0.500, 0.000, 0.000], [0.000, 0.000, 0.500], [0.500, 0.500, 0.500]],
  "formation_energy_uncorrected_kcal_per_mol_atoms": -8.27,
  "sg": "P4/mmm"
}



Entry 9:
{
  "formula": "RbTaBe",
  "functional": "PBE-GGA",
  "state": "relaxed",
  "lattice": [[3.917, 0.000, 0.000], [1.958, 3.395, 0.000], [0.048, 1.863, 13.115]],
  "species": ["Rb", "Rb", "Ta", "Ta", "Be", "Be"],
  "frac_coords": [[0.000, 0.000, 0.000], [0.169, 0.649, 0.644], [0.077, 0.843, 0.289], [0.441, 0.112, 0.408], [0.390, 0.219, 0.213], [0.723, 0.552, 0.213]],
  "formation_energy_kcal_per_mol_atoms": 14.9,
  "sg": "P1"
}



Entry 10:
{
  "formula": "KTlPRh",
  "functional": "PBE-GGA",
  "state": "relaxed",
  "lattice": [[4.114, 0.000, 0.000], [0.000, 4.114, 0.000], [0.000, 0.000, 12.732]],
  "species": ["K", "K", "Tl", "Tl", "P", "P", "Rh", "Rh"],
  "frac_coords": [[0.250, 0.250, 0.235], [0.750, 0.750, 0.765], [0.250, 0.750, 0.500], [0.750, 0.250, 0.500], [0.250, 0.250, 0.906], [0.750, 0.750, 0.094], [0.250, 0.750, 0.000], [0.750, 0.250, 0.000]],
  "formation_energy_kcal_per_mol_atoms": -9.5,
  "sg": "P4/nmm"
}



Entry 11:
{
  "formula": "NaZrAl",
  "functional": "PBE-GGA",
  "state": "relaxed",
  "lattice": [[3.065, 0.000, 0.000], [0.000, 4.185, 0.000], [0.000, 0.000, 10.923]],
  "species": ["Na", "Na", "Zr", "Zr", "Al", "Al"],
  "frac_coords": [[0.000, 0.000, 0.000], [0.500, 0.500, 0.212], [0.500, 0.500, 0.517], [0.500, 0.500, 0.795], [0.000, 0.000, 0.396], [0.000, 0.000, 0.660]],
  "formation_energy_kcal_per_mol_atoms": -0.3,
  "sg": "Pmm2"
}



Entry 12:
{
  "formula": "LaVAs2",
  "functional": "PBE-GGA",
  "state": "relaxed",
  "lattice": [[0.000, 3.480, 3.480], [3.480, 0.000, 3.480], [3.480, 3.480, 0.000]],
  "species": ["La", "V", "As", "As"],
  "frac_coords": [[0.000, 0.000, 0.000], [0.500, 0.500, 0.500], [0.250, 0.250, 0.250], [0.750, 0.750, 0.750]],
  "formation_energy_kcal_per_mol_atoms": -12.3,
  "sg": "Fm-3m"
}



Entry 13:
{
  "formula": "Er7Co2Te2",
  "functional": "PBE-GGA",
  "state": "relaxed",
  "lattice": [[-1.905, 7.774, 4.715], [1.905, -7.774, 4.715], [1.905, 7.774, -4.715]],
  "species": ["Er", "Er", "Er", "Er", "Er", "Er", "Er", "Co", "Co", "Te", "Te"],
  "frac_coords": [[0.000, 0.000, 0.000], [0.286, 0.420, 0.866], [0.310, 0.625, 0.685], [0.555, 0.420, 0.134], [0.624, 0.272, 0.351], [0.921, 0.272, 0.649], [0.939, 0.625, 0.315], [0.168, 0.931, 0.237], [0.694, 0.931, 0.763], [0.267, 0.767, 0.500], [0.665, 0.665, 0.000]],
  "formation_energy_uncorrected_kcal_per_mol_atoms": -14.11,
  "sg": "Imm2"
}



Entry 14:
{
  "formula": "AlIn2Cl",
  "functional": "PBE-GGA",
  "state": "relaxed",
  "lattice": [[0.000, 3.660, 3.660], [3.660, 0.000, 3.660], [3.660, 3.660, 0.000]],
  "species": ["Al", "In", "In", "Cl"],
  "frac_coords": [[0.000, 0.000, 0.000], [0.250, 0.250, 0.250], [0.500, 0.500, 0.500], [0.750, 0.750, 0.750]],
  "formation_energy_uncorrected_kcal_per_mol_atoms": 0.19,
  "sg": "F-43m"
}



Entry 15:
{
  "formula": "TlMoPOsRu",
  "functional": "PBE-GGA",
  "state": "relaxed",
  "lattice": [[-1.886, 2.060, 5.672], [1.886, -2.060, 5.672], [1.886, 2.060, -5.672]],
  "species": ["Tl", "Mo", "P", "Os", "Ru"],
  "frac_coords": [[0.000, 0.000, 0.000], [0.370, 0.370, 0.000], [0.742, 0.242, 0.500], [0.236, 0.736, 0.500], [0.612, 0.612, 0.000]],
  "formation_energy_kcal_per_mol_atoms": 5.8,
  "sg": "Imm2"
}



Entry 16:
{
  "formula": "Tb2SmZn2In2",
  "functional": "PBE-GGA",
  "state": "relaxed",
  "lattice": [[2.364, 1.365, 9.177], [-2.364, 1.365, 9.177], [0.000, -2.730, 9.177]],
  "species": ["Tb", "Tb", "Sm", "Zn", "Zn", "In", "In"],
  "frac_coords": [[0.128, 0.128, 0.128], [0.872, 0.872, 0.872], [0.000, 0.000, 0.000], [0.401, 0.401, 0.401], [0.599, 0.599, 0.599], [0.262, 0.262, 0.262], [0.738, 0.738, 0.738]],
  "formation_energy_kcal_per_mol_atoms": -6.7,
  "sg": "R-3m"
}



Entry 17:
{
  "formula": "PuVNiOs",
  "functional": "PBE-GGA",
  "state": "relaxed",
  "lattice": [[0.000, 3.175, 3.175], [3.175, 0.000, 3.175], [3.175, 3.175, 0.000]],
  "species": ["Pu", "V", "Ni", "Os"],
  "frac_coords": [[0.000, 0.000, 0.000], [0.500, 0.500, 0.500], [0.750, 0.750, 0.750], [0.250, 0.250, 0.250]],
  "formation_energy_kcal_per_mol_atoms": 3.2,
  "sg": "F-43m"
}



Entry 18:
{
  "formula": "K3Ac2CuO6",
  "functional": "PBE-GGA",
  "state": "relaxed",
  "lattice": [[3.136, -5.531, 0.000], [3.136, 5.531, 0.000], [-1.986, 0.000, 6.325]],
  "species": ["K", "K", "K", "Ac", "Ac", "Cu", "O", "O", "O", "O", "O", "O"],
  "frac_coords": [[0.000, 0.000, 0.000], [0.344, 0.656, 0.000], [0.656, 0.344, 0.000], [0.170, 0.830, 0.500], [0.830, 0.170, 0.500], [0.500, 0.500, 0.500], [0.087, 0.427, 0.281], [0.287, 0.287, 0.653], [0.427, 0.087, 0.281], [0.573, 0.913, 0.719], [0.713, 0.713, 0.347], [0.913, 0.573, 0.719]],
  "formation_energy_uncorrected_kcal_per_mol_atoms": -42.42,
  "sg": "C2/m"
}



Entry 19:
{
  "formula": "As2PN",
  "functional": "PBE-GGA",
  "state": "relaxed",
  "lattice": [[0.000, 3.054, 3.054], [3.054, 0.000, 3.054], [3.054, 3.054, 0.000]],
  "species": ["As", "As", "P", "N"],
  "frac_coords": [[0.250, 0.250, 0.250], [0.750, 0.750, 0.750], [0.000, 0.000, 0.000], [0.500, 0.500, 0.500]],
  "formation_energy_uncorrected_kcal_per_mol_atoms": 28.43,
  "sg": "Fm-3m"
}



Entry 20:
{
  "formula": "Tb4Ho6Mg",
  "functional": "PBE-GGA",
  "state": "relaxed",
  "lattice": [[-3.231, 3.231, 8.474], [3.231, -3.231, 8.474], [3.231, 3.231, -8.474]],
  "species": ["Tb", "Tb", "Tb", "Tb", "Ho", "Ho", "Ho", "Ho", "Ho", "Ho", "Mg"],
  "frac_coords": [[0.191, 0.191, 0.650], [0.459, 0.809, 0.000], [0.541, 0.541, 0.350], [0.809, 0.459, 0.000], [0.000, 0.500, 0.500], [0.014, 0.647, 0.000], [0.353, 0.353, 0.367], [0.500, 0.000, 0.500], [0.647, 0.014, 0.000], [0.986, 0.986, 0.633], [0.000, 0.000, 0.000]],
  "formation_energy_kcal_per_mol_atoms": 6.5,
  "sg": "I-42m"
}



Number 1: size of the total moment 1.02 μB per formula unit, DOS(E_F) 1.5354 states/eV per atom, mass density 8.9 g cm⁻³. Number 2: size of the total moment 0.76 μB per formula unit, DOS(E_F) 0.6288 states/eV per atom, mass density 4.0 g cm⁻³. Number 3: size of the total moment 0.00 μB per formula unit, DOS(E_F) 1.6336 states/eV per atom, mass density 7.1 g cm⁻³. Number 4: size of the total moment 0.00 μB per formula unit, DOS(E_F) 0.2467 states/eV per atom, mass density 5.7 g cm⁻³. Number 5: size of the total moment 0.03 μB per formula unit, DOS(E_F) 1.1713 states/eV per atom, mass density 6.7 g cm⁻³. Number 6: size of the total moment 0.00 μB per formula unit, DOS(E_F) 0.4129 states/eV per atom, mass density 9.5 g cm⁻³. Number 7: size of the total moment 3.52 μB per formula unit, DOS(E_F) 1.2173 states/eV per atom, mass density 12.5 g cm⁻³. Number 8: size of the total moment 0.00 μB per formula unit, DOS(E_F) 0.5664 states/eV per atom, mass density 7.2 g cm⁻³. Number 9: size of the total moment 0.00 μB per formula unit, DOS(E_F) 0.6328 states/eV per atom, mass density 5.2 g cm⁻³. Number 10: size of the total moment 0.00 μB per formula unit, DOS(E_F) 0.6686 states/eV per atom, mass density 5.8 g cm⁻³. Number 11: size of the total moment 0.00 μB per formula unit, DOS(E_F) 1.0635 states/eV per atom, mass density 3.3 g cm⁻³. Number 12: size of the total moment 2.00 μB per formula unit, DOS(E_F) 0.4263 states/eV per atom, mass density 6.7 g cm⁻³. Number 13: size of the total moment 0.00 μB per formula unit, DOS(E_F) 0.8358 states/eV per atom, mass density 9.2 g cm⁻³. Number 14: size of the total moment 0.00 μB per formula unit, DOS(E_F) 0.8944 states/eV per atom, mass density 4.9 g cm⁻³. Number 15: size of the total moment 0.00 μB per formula unit, DOS(E_F) 0.5923 states/eV per atom, mass density 11.7 g cm⁻³. Number 16: size of the total moment 0.00 μB per formula unit, DOS(E_F) 0.4792 states/eV per atom, mass density 7.7 g cm⁻³. Number 17: size of the total moment 3.42 μB per formula unit, DOS(E_F) 2.1828 states/eV per atom, mass density 14.1 g cm⁻³. Number 18: size of the total moment 0.00 μB per formula unit, DOS(E_F) 0.5869 states/eV per atom, mass density 5.5 g cm⁻³. Number 19: size of the total moment 0.00 μB per formula unit, DOS(E_F) 0.6878 states/eV per atom, mass density 5.7 g cm⁻³. Number 20: size of the total moment 0.00 μB per formula unit, DOS(E_F) 1.1920 states/eV per atom, mass density 7.7 g cm⁻³.